## Al2MoRu (PBE)

Data for Al2MoRu after structural relaxation.

Results
final energy: -28.39 eV for the cell shown
symmetry: C2/m, No. 12
DOS(E_F): 3.854 states/eV/f.u.
magnetic moment: 0.0 Bohr magnetons per cell

Cell: 4.968 4.968 2.793 Å, 101.11 101.11 113.63°
Fractional positions:
Al  0.000  0.500  0.000
Al  0.500  0.000  0.000
Mo  0.000  0.000  0.500
Ru  0.500  0.500  0.500

## CsMgCuO2 (PBE)

Data for CsMgCuO2 after structural relaxation.

Results
final energy: -48.21 eV for the cell shown
symmetry: Cmme, No. 67
formation energy without anion corrections: -1.529 eV per atom
DOS(E_F): 0.000 states/eV/f.u.
magnetic moment: 0.0 Bohr magnetons per cell

Cell: 6.895 6.895 5.132 Å, 90.00 90.00 131.72°
Fractional positions:
Cs  0.250  0.750  0.756
Cs  0.750  0.250  0.244
Mg  0.250  0.250  0.500
Mg  0.750  0.750  0.500
Cu  0.000  0.000  0.000
Cu  0.500  0.500  0.000
O  0.082  0.918  0.303
O  0.418  0.582  0.303
O  0.582  0.418  0.697
O  0.918  0.082  0.697

## Cs2FeNiCl6 (PBE)

Data for Cs2FeNiCl6 after structural relaxation.

Results
final energy: -75.49 eV for the cell shown
symmetry: R-3m, No. 166
formation energy without anion corrections: -1.071 eV per atom
DOS(E_F): 4.498 states/eV/f.u.
magnetic moment: 0.1 Bohr magnetons per cell

Cell: 12.281 12.281 12.281 Å, 33.73 33.73 33.73°
Fractional positions:
Cs  0.125  0.125  0.125
Cs  0.292  0.292  0.292
Cs  0.708  0.708  0.708
Cs  0.875  0.875  0.875
Fe  0.412  0.412  0.412
Fe  0.588  0.588  0.588
Ni  0.000  0.000  0.000
Ni  0.500  0.500  0.500
Cl  0.159  0.603  0.603
Cl  0.210  0.210  0.708
Cl  0.210  0.708  0.210
Cl  0.292  0.790  0.790
Cl  0.397  0.397  0.841
Cl  0.397  0.841  0.397
Cl  0.603  0.159  0.603
Cl  0.603  0.603  0.159
Cl  0.708  0.210  0.210
Cl  0.790  0.292  0.790
Cl  0.790  0.790  0.292
Cl  0.841  0.397  0.397

## BaMnAl2Ge (PBE)

Data for BaMnAl2Ge after structural relaxation.

Results
final energy: -24.40 eV for the cell shown
symmetry: P4/mmm, No. 123
DOS(E_F): 1.552 states/eV/f.u.
magnetic moment: 0.0 Bohr magnetons per cell

Cell: 4.759 4.759 4.672 Å, 90.00 90.00 90.00°
Fractional positions:
Ba  0.000  0.000  0.000
Mn  0.500  0.500  0.500
Al  0.000  0.500  0.500
Al  0.500  0.000  0.500
Ge  0.500  0.500  0.000

## TmNi2BRu (PBE)

Data for TmNi2BRu after structural relaxation.

Results
final energy: -34.55 eV for the cell shown
symmetry: P4/mmm, No. 123
DOS(E_F): 0.796 states/eV/f.u.
magnetic moment: 0.0 Bohr magnetons per cell

Cell: 3.993 3.993 4.146 Å, 90.00 90.00 90.00°
Fractional positions:
Tm  0.000  0.000  0.000
Ni  0.000  0.500  0.500
Ni  0.500  0.000  0.500
B  0.500  0.500  0.500
Ru  0.500  0.500  0.000

## Sc4HgAuO (PBE)

Data for Sc4HgAuO after structural relaxation.

Results
final energy: -84.52 eV for the cell shown
symmetry: Cmcm, No. 63
formation energy without anion corrections: -1.199 eV per atom
DOS(E_F): 7.782 states/eV/f.u.
magnetic moment: 0.0 Bohr magnetons per cell

Cell: 7.750 7.750 6.178 Å, 90.00 90.00 133.01°
Fractional positions:
Sc  0.000  0.500  0.000
Sc  0.000  0.500  0.500
Sc  0.070  0.930  0.750
Sc  0.420  0.580  0.750
Sc  0.500  0.000  0.000
Sc  0.500  0.000  0.500
Sc  0.580  0.420  0.250
Sc  0.930  0.070  0.250
Hg  0.385  0.615  0.250
Hg  0.615  0.385  0.750
Au  0.119  0.881  0.250
Au  0.881  0.119  0.750
O  0.252  0.748  0.750
O  0.748  0.252  0.250

## YAsRh4 (PBE)

Data for YAsRh4 after structural relaxation.

Results
final energy: -42.32 eV for the cell shown
symmetry: F-43m, No. 216
DOS(E_F): 3.159 states/eV/f.u.
magnetic moment: 0.0 Bohr magnetons per cell

Cell: 5.254 5.254 5.254 Å, 60.00 60.00 60.00°
Fractional positions:
Y  0.000  0.000  0.000
As  0.750  0.750  0.750
Rh  0.376  0.376  0.376
Rh  0.376  0.376  0.873
Rh  0.376  0.873  0.376
Rh  0.873  0.376  0.376

## TaCu2Pb (PBE)

Data for TaCu2Pb after structural relaxation.

Results
final energy: -22.54 eV for the cell shown
symmetry: P4mm, No. 99
DOS(E_F): 1.384 states/eV/f.u.
magnetic moment: 0.0 Bohr magnetons per cell

Cell: 3.089 3.089 7.328 Å, 90.00 90.00 90.00°
Fractional positions:
Ta  0.000  0.000  0.000
Cu  0.000  0.000  0.385
Cu  0.500  0.500  0.216
Pb  0.500  0.500  0.679